Record 1
Compound: Sc5GeSb2
Source: Alexandria via LeMat-Bulk
Functional: GGA-PBE
Structure: optimized geometry

For the raw formation energy, the calculation gives -0.3913 eV per atom. The calculation puts the total DFT energy (no corrections) at -5.96 eV per atom.

It has space group Cmcm (No. 63), with a = 5.657 Å, b = 11.434 Å, c = 13.070 Å, α = 90.00°, β = 90.00° and γ = 90.00°. The asymmetric unit holds Sc at (0.000, 0.064, 0.115), Sc at (0.000, 0.337, 0.750), Sc at (0.000, 0.375, 0.078), Ge at (0.000, 0.235, 0.250) and Sb at (0.000, 0.184, 0.578).


Record 2
Compound: Sc6GeSb2
Source: Alexandria via LeMat-Bulk
Functional: GGA-PBE
Structure: optimized geometry

For the raw formation energy, the calculation gives -0.2722 eV per atom. The calculation puts the total DFT energy (no corrections) at -5.92 eV per atom.

It has space group P4_2/mnm (No. 136), with a = 6.360 Å, b = 6.360 Å, c = 12.765 Å, α = 90.00°, β = 90.00° and γ = 90.00°. The asymmetric unit holds Sc at (0.192, 0.192, 0.155), Sc at (0.208, 0.208, 0.500), Ge at (0.000, 0.000, 0.000) and Sb at (0.000, 0.000, 0.331).


Record 3
Compound: ScGe3Sb
Source: Alexandria via LeMat-Bulk
Functional: GGA-PBE
Structure: optimized geometry

For the raw formation energy, the calculation gives 0.5320 eV per atom. The calculation puts the excess energy over the best structure of this formula in the dataset at 0.0 meV/atom. The calculation puts the total DFT energy (no corrections) at -4.33 eV per atom.

It has space group Pm-3m (No. 221), with a = 5.141 Å, b = 5.141 Å, c = 5.141 Å, α = 90.00°, β = 90.00° and γ = 90.00°. The asymmetric unit holds Sc at (0.000, 0.000, 0.000), Ge at (0.000, 0.000, 0.500) and Sb at (0.500, 0.500, 0.500).


Record 4
Compound: Sc4GeSb2Se
Source: Alexandria via LeMat-Bulk
Functional: GGA-PBE
Structure: optimized geometry

For the raw formation energy, the calculation gives -1.0724 eV per atom. The calculation puts the total DFT energy (no corrections) at -6.28 eV per atom.

It has space group P2/m (No. 10), with a = 6.963 Å, b = 4.003 Å, c = 7.029 Å, α = 90.00°, β = 109.02° and γ = 90.00°. The asymmetric unit holds Sc at (0.239, 0.000, 0.230), Sc at (0.248, 0.500, 0.766), Ge at (0.000, 0.500, 0.000), Sb at (0.000, 0.000, 0.500), Sb at (0.500, 0.500, 0.500) and Se at (0.500, 0.000, 0.000).


Record 5
Compound: Sc6Ge2SbSe3
Source: Alexandria via LeMat-Bulk
Functional: GGA-PBE
Structure: optimized geometry

For the raw formation energy, the calculation gives -1.2603 eV per atom. The calculation puts the total DFT energy (no corrections) at -6.41 eV per atom.

It has space group C2/m (No. 12), with a = 17.201 Å, b = 3.930 Å, c = 7.931 Å, α = 90.00°, β = 103.53° and γ = 90.00°. The asymmetric unit holds Sc at (0.006, 0.000, 0.263), Sc at (0.170, 0.500, 0.578), Sc at (0.172, 0.500, 0.100), Ge at (0.168, 0.000, 0.336), Sb at (0.000, 0.500, 0.000), Se at (0.000, 0.500, 0.500) and Se at (0.164, 0.000, 0.834).


Record 6
Compound: Sc2GeSbSe
Source: Alexandria via LeMat-Bulk
Functional: GGA-PBE
Structure: optimized geometry

For the raw formation energy, the calculation gives -0.1020 eV per atom. The calculation puts the total DFT energy (no corrections) at -5.08 eV per atom.

It has space group P4/mmm (No. 123), with a = 5.229 Å, b = 5.229 Å, c = 4.767 Å, α = 90.00°, β = 90.00° and γ = 90.00°. The asymmetric unit holds Sc at (0.000, 0.500, 0.000), Ge at (0.000, 0.000, 0.000), Sb at (0.500, 0.500, 0.500) and Se at (0.000, 0.000, 0.500).


Record 7
Compound: Sm2Sc2GeSb2
Source: Alexandria via LeMat-Bulk
Functional: GGA-PBE
Structure: optimized geometry

For the raw formation energy, the calculation gives -0.7311 eV per atom. The calculation puts the total DFT energy (no corrections) at -5.73 eV per atom.

It has space group I4/mmm (No. 139), with a = 4.911 Å, b = 4.911 Å, c = 16.232 Å, α = 90.00°, β = 90.00° and γ = 90.00°. The asymmetric unit holds Sm at (0.000, 0.000, 0.173), Sc at (0.000, 0.500, 0.000), Ge at (0.000, 0.000, 0.000) and Sb at (0.000, 0.000, 0.369).


Record 8
Compound: ScV2GeSb
Source: Alexandria via LeMat-Bulk
Functional: GGA-PBE
Structure: optimized geometry

For the raw formation energy, the calculation gives 1.2269 eV per atom. The calculation puts the total DFT energy (no corrections) at -5.43 eV per atom.

It has space group P4/mmm (No. 123), with a = 4.753 Å, b = 4.753 Å, c = 4.961 Å, α = 90.00°, β = 90.00° and γ = 90.00°. The asymmetric unit holds Sc at (0.000, 0.000, 0.000), V at (0.000, 0.500, 0.000), Ge at (0.000, 0.000, 0.500) and Sb at (0.500, 0.500, 0.500).


Record 9
Compound: Sc2VGeSb
Source: Alexandria via LeMat-Bulk
Functional: GGA-PBE
Structure: optimized geometry

For the raw formation energy, the calculation gives 0.1993 eV per atom. The calculation puts the total DFT energy (no corrections) at -5.91 eV per atom.

It has space group P4/mmm (No. 123), with a = 4.934 Å, b = 4.934 Å, c = 4.696 Å, α = 90.00°, β = 90.00° and γ = 90.00°. The asymmetric unit holds Sc at (0.000, 0.500, 0.000), V at (0.000, 0.000, 0.000), Ge at (0.000, 0.000, 0.500) and Sb at (0.500, 0.500, 0.500).


Record 10
Compound: Ge2SbSe4
Source: Alexandria via LeMat-Bulk
Functional: GGA-PBE
Structure: optimized geometry

For the raw formation energy, the calculation gives -0.1748 eV per atom. The calculation puts the excess energy over the best structure of this formula in the dataset at 0.0 meV/atom. The calculation puts the total DFT energy (no corrections) at -4.07 eV per atom.

It has space group Fdd2 (No. 43), with a = 13.407 Å, b = 13.569 Å, c = 7.955 Å, α = 90.00°, β = 90.00° and γ = 90.00°. The asymmetric unit holds Ge at (0.023, 0.244, 0.000), Sb at (0.000, 0.000, 0.235), Se at (0.116, 0.334, 0.266) and Se at (0.124, 0.083, 0.506).


Record 11
Compound: Ge2Sb2Se
Source: Alexandria via LeMat-Bulk
Functional: GGA-PBE
Structure: optimized geometry

For the raw formation energy, the calculation gives 0.2790 eV per atom. The calculation puts the excess energy over the best structure of this formula in the dataset at 85.0 meV/atom. The calculation puts the total DFT energy (no corrections) at -3.91 eV per atom.

It has space group I4/mmm (No. 139), with a = 4.162 Å, b = 4.162 Å, c = 14.805 Å, α = 90.00°, β = 90.00° and γ = 90.00°. The asymmetric unit holds Ge at (0.000, 0.000, 0.089), Sb at (0.000, 0.500, 0.250) and Se at (0.000, 0.000, 0.500).


Record 12
Compound: Ge3SbSe
Source: Alexandria via LeMat-Bulk
Functional: GGA-PBE
Structure: optimized geometry

For the raw formation energy, the calculation gives 0.9348 eV per atom. The calculation puts the excess energy over the best structure of this formula in the dataset at 344.6 meV/atom. The calculation puts the total DFT energy (no corrections) at -3.36 eV per atom.

It has space group Pm-3m (No. 221), with a = 5.368 Å, b = 5.368 Å, c = 5.368 Å, α = 90.00°, β = 90.00° and γ = 90.00°. The asymmetric unit holds Ge at (0.000, 0.000, 0.500), Sb at (0.000, 0.000, 0.000) and Se at (0.500, 0.500, 0.500).


Which value of total DFT energy (no corrections) does entry 9 give?
-5.91 eV per atom